The following is a PBE-GGA calculation of a relaxed structure of Ba12O5F3, from Alexandria.

Geometry as extended XYZ:
```
80
Lattice="-1.795 12.985 7.428 -13.488 -6.144 -2.706 8.245 -9.459 8.340" Properties=species:S:1:pos:R:3 pbc="T T T"
Ba -2.736 0.170 8.803
Ba 4.407 -4.733 6.977
O -10.863 0.375 4.360
Ba -5.387 -7.604 3.341
Ba -4.373 7.592 8.777
Ba -4.826 3.864 7.785
Ba 0.284 6.087 6.244
Ba -7.322 -8.705 6.818
Ba -5.999 0.023 6.335
Ba -8.709 -4.627 7.519
Ba 6.356 -7.572 9.254
O -6.684 2.352 7.007
O -6.744 -3.072 -1.353
Ba -2.611 4.338 4.333
Ba 1.671 2.009 5.542
F -1.195 8.229 8.246
Ba -11.626 -5.474 -0.695
Ba -4.302 -2.788 4.259
O -0.354 -4.969 6.055
Ba -2.665 -10.210 4.285
F -5.374 6.252 5.599
Ba -2.184 0.638 4.986
Ba 0.501 -6.442 7.911
O -3.221 -3.046 1.999
Ba 4.588 2.856 13.757
O -11.220 -3.312 0.532
Ba -0.940 -2.007 1.745
Ba -1.664 -4.359 10.689
Ba -7.877 -4.785 3.729
O -2.622 -7.801 2.817
F -5.843 -10.847 4.815
O 3.225 1.763 7.884
Ba 2.569 -0.981 7.854
O -3.015 2.151 3.151
Ba 1.384 -9.934 5.891
Ba -7.539 3.824 5.151
Ba 2.157 -3.696 10.454
Ba 2.066 5.451 11.769
F -7.042 -1.335 3.179
Ba -2.212 -6.482 5.277
F -5.636 -5.650 5.968
Ba -2.764 8.159 5.017
Ba -11.445 2.115 6.085
F -7.995 -1.549 8.416
O -3.817 0.428 11.063
Ba -13.395 4.955 3.808
O -7.249 -6.532 2.026
F -1.402 3.032 7.094
Ba -9.195 1.078 2.608
Ba -8.374 1.695 8.757
Ba 0.838 2.167 9.333
O -3.519 -1.309 6.531
F 0.004 -1.283 9.883
O 4.122 -4.729 4.170
F -1.665 -8.870 7.463
O 0.210 3.914 11.036
Ba -9.607 -1.637 5.208
Ba -4.274 -10.777 8.045
O -7.642 3.420 2.361
Ba 1.335 -4.313 4.305
F 3.618 -8.189 7.549
Ba -1.040 -2.641 6.726
Ba -4.854 -3.256 8.076
O 4.182 0.694 12.530
Ba -5.065 -1.995 0.641
Ba -8.422 7.316 7.171
Ba -1.651 4.987 9.721
Ba -9.104 -8.069 1.293
Ba -6.098 -0.611 11.316
Ba -8.918 -2.321 0.280
O 0.000 0.000 0.000
F -10.656 5.571 5.512
F 0.957 -1.069 4.646
Ba 1.880 -0.297 12.782
Ba -5.375 1.741 2.372
O -0.897 6.492 3.714
Ba -1.974 -0.623 12.420
O -4.024 -4.769 9.910
O 3.825 -2.993 8.702
Ba -4.427 -6.956 8.728
```

Output
* ΔE_f (raw): -168.2 kJ per mole of atoms

---

The following is a PBE-GGA calculation of a relaxed structure of Y4FeW, from Alexandria.

Geometry as extended XYZ:
```
6
Lattice="2.468 -5.293 1.317 -2.962 -5.063 -1.193 1.879 -3.603 -4.396" Properties=species:S:1:pos:R:3 pbc="T T T"
Y 1.463 -7.036 -3.808
Y 0.518 -5.226 -1.599
Y -0.971 -7.770 -2.199
Y 1.758 -7.885 -0.938
Fe 1.038 -10.469 -3.204
W 0.000 0.000 0.000
```

Output
* energy relative to the elements: 1225 meV per atom

---

The following is a PBE-GGA calculation of a relaxed structure of YRe2MoAs, from Alexandria.

Geometry as extended XYZ:
```
5
Lattice="-3.947 0.165 -2.431 1.274 -3.842 -2.329 -2.083 -2.632 3.203" Properties=species:S:1:pos:R:3 pbc="T T T"
As 0.000 0.000 0.000
Re -1.974 0.082 -1.216
Re -1.041 -1.316 1.601
Mo 0.637 -1.921 -1.164
Y -2.378 -3.154 -0.779
```

Output
* energy relative to the elements: 850 meV per atom

---

The following is a PBE-GGA calculation of a relaxed structure of LaMg2Ir, from Alexandria.

Geometry as extended XYZ:
```
4
Lattice="4.911 0.000 0.000 0.000 3.343 -0.002 0.000 1.652 5.379" Properties=species:S:1:pos:R:3 pbc="T T T"
Ir 2.456 1.249 1.344
Mg 0.000 0.416 0.216
La 2.456 3.747 4.033
Mg 0.000 2.082 2.472
```

Output
* energy relative to the elements: -203 meV per atom

---

The following is a PBE-GGA calculation of a relaxed structure of PrSm2YSc, from Alexandria.

Geometry as extended XYZ:
```
10
Lattice="6.674 0.000 0.000 0.000 7.704 1.423 0.000 -1.135 6.147" Properties=species:S:1:pos:R:3 pbc="T T T"
Pr 2.093 3.000 5.322
Y 2.725 -0.852 4.610
Sc 6.674 0.000 0.000
Sc 0.000 -0.568 3.074
Sm 5.275 1.409 5.028
Sm 1.399 5.159 2.542
Pr 4.582 3.568 2.248
Sm 1.399 1.977 1.954
Y 3.950 -0.284 1.537
Sm 5.275 4.591 5.616
```

Output
* energy relative to the elements: 194 meV per atom

---

The following is a PBE-GGA calculation of a relaxed structure of ZrCr2Pt, from Alexandria.

Geometry as extended XYZ:
```
8
Lattice="-2.339 -0.696 -6.732 1.530 -6.993 0.192 -2.800 -4.344 -2.386" Properties=species:S:1:pos:R:3 pbc="T T T"
Zr -0.405 -3.844 -3.270
Cr -2.771 -10.158 -7.508
Cr -2.028 -2.412 -4.946
Cr 0.021 -5.527 -1.153
Zr -0.838 -7.591 -2.732
Cr -2.441 -5.970 -4.247
Pt 0.000 0.000 0.000
Pt -2.772 -4.442 -6.194
```

Output
* energy relative to the elements: 461 meV per atom

---

The following is a PBE-GGA calculation of a relaxed structure of NiAg2Ru, from Alexandria.

Geometry as extended XYZ:
```
4
Lattice="-1.858 0.055 1.978 -0.607 -1.341 -2.281 3.682 -7.922 3.678" Properties=species:S:1:pos:R:3 pbc="T T T"
Ni -0.312 -2.624 0.768
Ru 1.529 -6.584 2.607
Ag 0.043 -0.092 0.043
Ag 1.798 -3.869 1.796
```

Output
* relative energy among the computed polymorphs: 218.9 meV per atom
* energy relative to the elements: 486 meV per atom

---

The following is a PBE-GGA calculation of a relaxed structure of Tl2Te3Se8, from Alexandria.

Geometry as extended XYZ:
```
13
Lattice="7.001 0.000 1.168 0.000 8.191 0.000 -1.622 -4.096 6.725" Properties=species:S:1:pos:R:3 pbc="T T T"
Se 2.012 1.979 1.959
Se 3.366 2.116 5.934
Te 3.500 0.000 0.584
Se 6.257 4.096 2.940
Se 5.522 0.000 2.574
Se -0.878 0.000 4.953
Se 3.366 -2.116 5.934
Se -0.144 4.096 5.319
Te 0.000 6.155 0.000
Tl 3.445 4.096 3.589
Se 2.012 6.212 1.959
Te 0.000 2.036 0.000
Tl 1.933 0.000 4.304
```

Output
* ΔE_f (raw): -2.1 kJ per mole of atoms